This record from the Alexandria database describes a relaxed structure of NaAlPbO4. The functional is PBE-GGA.

Summary:
Formation energy without anion corrections: -11.891 eV/f.u.
Density of states at the Fermi level: 0.05 states/eV/atom
Density: 6.113 g/cm³
E_tot: -5.785 eV per atom

Lattice parameters (Å, degrees): 6.047 6.690 8.626 90.00 90.00 90.00
Space group Imma (No. 74)
Unique sites:
Na 0.250 0.250 0.250 (multiplicity 4)
Al 0.000 0.250 0.644 (multiplicity 4)
Pb 0.000 0.000 0.000 (multiplicity 4)
O 0.000 0.020 0.752 (multiplicity 8)
O 0.243 0.250 0.513 (multiplicity 8)